An optimized crystal structure of HgBrN2O, computed with PBE-GGA.

Computed properties:
The theoretical density is 7.83 g/cm³. For the total energy, the calculation gives -2.7135 eV per atom. The density of states at the Fermi level comes out at 4.24 states/eV/f.u. The value obtained for the energy relative to the elements, uncorrected is 2.0032 eV/atom.

Geometry as extended XYZ:
```
5
Lattice="4.2229 0.0000 0.0000 0.0000 4.2229 0.0000 0.0000 0.0000 3.8612" Properties=species:S:1:pos:R:3 pbc="T T T"
O 0.0000 0.0000 1.9306
Hg 2.1115 2.1115 1.9306
Br 0.0000 0.0000 0.0000
N 0.0000 2.1115 0.0000
N 2.1115 0.0000 0.0000
```